{"formula": "Pm3PrTh4Se8", "functional": "GGA-PBE", "state": "relaxed", "lattice": [[8.3244, 0.0000, 0.0000], [0.0000, 8.5000, 0.1198], [-4.1622, -4.1563, 5.8878]], "species": ["Se", "Pm", "Se", "Se", "Se", "Th", "Se", "Pm", "Th", "Se", "Th", "Th", "Pm", "Se", "Se", "Pr"], "fractional_positions": [[0.2515, 0.2543, 0.5030], [0.5000, 0.5000, 0.0000], [0.7497, 0.2525, 0.0030], [0.7485, 0.7457, 0.4970], [0.2533, 0.2525, 0.0030], [0.0000, 0.0000, 0.5000], [0.7496, 0.2525, 0.4991], [0.5000, 0.5000, 0.5000], [0.0000, 0.0000, 0.0000], [0.7467, 0.7475, 0.9970], [0.5000, 0.0000, 0.0000], [0.5000, 0.0000, 0.5000], [0.0000, 0.5000, 0.5000], [0.2504, 0.7475, 0.5009], [0.2503, 0.7475, 0.9970], [0.0000, 0.5000, 0.0000]], "total_magnetization_mub_per_fu": 0.000, "spacegroup": "R-3m, No. 166", "formation_energy_uncorrected_ev_per_atom": -1.68, "vol_a3_per_cell": 420.7, "final_energy_ev_per_cell": -103.53}

{"formula": "Nd2PS", "functional": "GGA-PBE", "state": "relaxed", "lattice": [[-2.4408, -4.6001, 2.6083], [0.5654, -3.0833, -4.9087], [6.2113, 2.0323, 2.8942]], "species": ["S", "P", "Nd", "S", "Nd", "P", "Nd", "Nd"], "fractional_positions": [[0.2500, 0.7500, 0.5000], [0.7500, 0.2500, 0.5000], [0.9959, 0.4959, 0.9919], [0.5000, 0.5000, 0.0000], [0.2459, 0.2459, 0.4919], [0.0000, 0.0000, 0.0000], [0.7541, 0.7541, 0.5081], [0.5041, 0.0041, 0.0081]], "total_magnetization_mub_per_fu": 0.000, "de_polymorph_mev_per_atom": 0, "spacegroup": "I4_1/amd, No. 141", "formation_energy_uncorrected_ev_per_atom": -1.85, "vol_a3_per_cell": 198.2, "final_energy_ev_per_cell": -52.94}

{"formula": "MgSbAsPt2", "functional": "GGA-PBE", "state": "relaxed", "lattice": [[4.7528, 0.0000, 0.0000], [0.0000, 4.7917, 0.0000], [0.0000, 0.0000, 4.7528]], "species": ["Pt", "Sb", "Mg", "As", "Pt"], "fractional_positions": [[0.0000, 0.0000, 0.5000], [0.5000, 0.5000, 0.5000], [0.0000, 0.0000, 0.0000], [0.0000, 0.5000, 0.0000], [0.5000, 0.0000, 0.0000]], "total_magnetization_mub_per_fu": 0.000, "spacegroup": "P4/mmm, No. 123", "formation_energy_uncorrected_ev_per_atom": 0.58, "vol_a3_per_cell": 108.2, "final_energy_ev_per_cell": -19.56}